Entry 1:
The following is a PBE calculation of a geometry-optimized Rb4Ce3DyTe8 structure, from the Alexandria database.

## Properties
The magnetic moment is 3.0 Bohr magnetons per cell. The calculation puts the formation energy without anion corrections at -1.347 eV per atom. The electronic total energy comes out at -0.168 hartree per atom.

Cell lengths 10.0842, 10.0842, 10.0842 Å; angles 54.97, 54.97, 54.97 degrees
With the nearest neighbours (Å) after each atom.
Positions (direct):
Rb 0.0000 0.0000 0.0000  6 Te 3.75
Rb 0.0000 0.5000 0.5000  6 Te 3.68
Rb 0.5000 0.0000 0.5000  6 Te 3.68
Rb 0.5000 0.5000 0.0000  6 Te 3.68
Ce 0.0000 0.0000 0.5000  6 Te 3.21-3.22
Ce 0.0000 0.5000 0.0000  6 Te 3.21-3.22
Ce 0.5000 0.0000 0.0000  6 Te 3.21-3.22
Dy 0.5000 0.5000 0.5000  6 Te 3.14
Te 0.2351 0.2351 0.2351  3 Ce 3.21
Te 0.2419 0.7300 0.7300  1 Dy 3.14, 2 Ce 3.22
Te 0.2700 0.2700 0.7581  1 Dy 3.14, 2 Ce 3.22
Te 0.2700 0.7581 0.2700  1 Dy 3.14, 2 Ce 3.22
Te 0.7300 0.2419 0.7300  1 Dy 3.14, 2 Ce 3.22
Te 0.7300 0.7300 0.2419  1 Dy 3.14, 2 Ce 3.22
Te 0.7581 0.2700 0.2700  1 Dy 3.14, 2 Ce 3.22
Te 0.7649 0.7649 0.7649  3 Ce 3.21


Entry 2:
The following is a PBE calculation of a geometry-optimized CeDyZnRe structure, from the Alexandria database.

## Properties
Its formation energy from the elements is -0.02 eV/atom. The magnetic moment is 0.0 Bohr magnetons per cell. The electronic total energy comes out at -0.224 hartree per atom.

Cell lengths 7.0155, 7.0155, 7.0155 Å; angles 90.00, 90.00, 90.00 degrees
With the nearest neighbours (Å) after each atom.
Positions (direct):
Ce 0.0000 0.0000 0.0000  4 Re 3.04, 4 Zn 3.04
Ce 0.0000 0.5000 0.5000  4 Re 3.04, 4 Zn 3.04
Ce 0.5000 0.0000 0.5000  4 Re 3.04, 4 Zn 3.04
Ce 0.5000 0.5000 0.0000  4 Re 3.04, 4 Zn 3.04
Dy 0.0000 0.0000 0.5000  4 Zn 3.04, 4 Re 3.04
Dy 0.0000 0.5000 0.0000  4 Re 3.04, 4 Zn 3.04
Dy 0.5000 0.0000 0.0000  4 Re 3.04, 4 Zn 3.04
Dy 0.5000 0.5000 0.5000  4 Re 3.04, 4 Zn 3.04
Zn 0.2500 0.2500 0.7500  4 Dy 3.04, 4 Ce 3.04
Zn 0.2500 0.7500 0.2500  4 Dy 3.04, 4 Ce 3.04
Zn 0.7500 0.2500 0.2500  4 Dy 3.04, 4 Ce 3.04
Zn 0.7500 0.7500 0.7500  4 Dy 3.04, 4 Ce 3.04
Re 0.2500 0.2500 0.2500  4 Dy 3.04, 4 Ce 3.04
Re 0.2500 0.7500 0.7500  4 Dy 3.04, 4 Ce 3.04
Re 0.7500 0.2500 0.7500  4 Dy 3.04, 4 Ce 3.04
Re 0.7500 0.7500 0.2500  4 Dy 3.04, 4 Ce 3.04


Entry 3:
The following is a PBE calculation of a geometry-optimized CeDy3Rh4 structure, from the Alexandria database.

## Properties
Its formation energy from the elements is -0.82 eV/atom. The magnetic moment is 0.2 Bohr magnetons per cell. The electronic total energy comes out at -0.256 hartree per atom.

Cell lengths 8.3967, 8.3967, 8.3967 Å; angles 33.80, 33.80, 33.80 degrees
With the nearest neighbours (Å) after each atom.
Positions (direct):
Ce 0.0000 0.0000 0.0000  8 Rh 2.91-2.98
Dy 0.2482 0.2482 0.2482  8 Rh 2.95-3.01
Dy 0.5000 0.5000 0.5000  8 Rh 3.00-3.01
Dy 0.7518 0.7518 0.7518  8 Rh 2.95-3.01
Rh 0.1225 0.1225 0.1225  1 Ce 2.91, 7 Dy 2.95-3.01
Rh 0.3737 0.3737 0.3737  3 Ce 2.98, 5 Dy 2.98-3.01
Rh 0.6263 0.6263 0.6263  3 Ce 2.98, 5 Dy 2.98-3.01
Rh 0.8775 0.8775 0.8775  1 Ce 2.91, 7 Dy 2.95-3.01


Entry 4:
The following is a PBE calculation of a geometry-optimized Ce5DyRh4 structure, from the Alexandria database.

## Properties
Its formation energy from the elements is -0.52 eV/atom. The magnetic moment is 3.4 Bohr magnetons per cell. The electronic total energy comes out at -0.253 hartree per atom.

Cell lengths 8.7088, 8.7088, 7.5967 Å; angles 106.92, 106.92, 27.58 degrees
With the nearest neighbours (Å) after each atom.
Positions (direct):
Ce 0.0000 0.0000 0.0000  4 Rh 2.74
Ce 0.3157 0.3157 0.1104  3 Rh 2.80-2.83, 2 Ce 3.14
Ce 0.3383 0.3383 0.6350  4 Rh 2.66-2.89
Ce 0.6617 0.6617 0.3650  4 Rh 2.66-2.89
Ce 0.6843 0.6843 0.8896  3 Rh 2.80-2.83, 2 Ce 3.14
Dy 0.0000 0.0000 0.5000  6 Rh 2.90-2.93
Rh 0.1815 0.1815 0.6399  5 Ce 2.66-2.89, 1 Dy 2.93
Rh 0.4913 0.4913 0.2290  4 Ce 2.74-2.83, 2 Dy 2.90
Rh 0.5087 0.5087 0.7710  4 Ce 2.74-2.83, 2 Dy 2.90
Rh 0.8185 0.8185 0.3601  5 Ce 2.66-2.89, 1 Dy 2.93


Entry 5:
The following is a PBE calculation of a geometry-optimized CeDy3Rh8 structure, from the Alexandria database.

## Properties
Its formation energy from the elements is -0.73 eV/atom. The magnetic moment is 0.2 Bohr magnetons per cell. The electronic total energy comes out at -0.268 hartree per atom.

Cell lengths 9.2479, 9.2479, 9.2479 Å; angles 33.59, 33.59, 33.59 degrees
With the nearest neighbours (Å) after each atom.
Positions (direct):
Ce 0.0000 0.0000 0.0000  12 Rh 3.13-3.14, 4 Dy 3.27-3.28
Dy 0.3761 0.3761 0.3761  12 Rh 3.12-3.14, 1 Dy 3.27, 3 Ce 3.28
Dy 0.5009 0.5009 0.5009  12 Rh 3.12-3.14, 4 Dy 3.26-3.27
Dy 0.8749 0.8749 0.8749  12 Rh 3.12-3.14, 3 Dy 3.26, 1 Ce 3.27
Rh 0.1880 0.1880 0.1880  6 Rh 2.67
Rh 0.4373 0.4373 0.9394  6 Rh 2.66-2.68
Rh 0.4374 0.9383 0.9383  6 Rh 2.67-2.68
Rh 0.4373 0.9394 0.4373  6 Rh 2.66-2.68
Rh 0.6882 0.6882 0.6882  6 Rh 2.67-2.68
Rh 0.9383 0.4374 0.9383  6 Rh 2.67-2.68
Rh 0.9383 0.9383 0.4374  6 Rh 2.67-2.68
Rh 0.9394 0.4373 0.4373  6 Rh 2.66-2.68


Entry 6:
The following is a PBE calculation of a geometry-optimized Ce2DyRh2 structure, from the Alexandria database.

## Properties
Its formation energy from the elements is -0.29 eV/atom. The magnetic moment is 0.0 Bohr magnetons per cell. The electronic total energy comes out at -0.240 hartree per atom.

Cell lengths 5.2459, 7.2169, 5.9011 Å; angles 90.00, 90.00, 90.00 degrees
With the nearest neighbours (Å) after each atom.
Positions (direct):
Ce 0.0000 0.1931 0.0000  2 Rh 2.69, 3 Ce 2.75-2.79
Ce 0.0000 0.8069 0.0000  2 Rh 2.69, 3 Ce 2.75-2.79
Ce 0.5000 0.3069 0.0000  2 Rh 2.69, 3 Ce 2.75-2.79
Ce 0.5000 0.6931 0.0000  2 Rh 2.69, 3 Ce 2.75-2.79
Dy 0.0000 0.0000 0.5000  4 Rh 2.99, 4 Ce 3.26
Dy 0.5000 0.5000 0.5000  4 Rh 2.99, 4 Ce 3.26
Rh 0.0000 0.5000 0.2573  2 Ce 2.69, 1 Rh 2.86, 2 Dy 2.99
Rh 0.0000 0.5000 0.7427  2 Ce 2.69, 1 Rh 2.86, 2 Dy 2.99
Rh 0.5000 0.0000 0.2573  2 Ce 2.69, 1 Rh 2.86, 2 Dy 2.99
Rh 0.5000 0.0000 0.7427  2 Ce 2.69, 1 Rh 2.86, 2 Dy 2.99


Entry 7:
The following is a PBE calculation of a geometry-optimized CeDy2Rh3 structure, from the Alexandria database.

## Properties
Its formation energy from the elements is -0.80 eV/atom. The magnetic moment is 0.2 Bohr magnetons per cell. The electronic total energy comes out at -0.257 hartree per atom.

Cell lengths 4.8750, 4.8750, 5.9711 Å; angles 90.00, 90.00, 120.00 degrees
With the nearest neighbours (Å) after each atom.
Positions (direct):
Ce 0.0000 0.0000 0.0000  8 Rh 2.96-2.99
Dy 0.3333 0.6667 0.6615  8 Rh 2.95-3.02
Dy 0.6667 0.3333 0.3385  8 Rh 2.95-3.02
Rh 0.0000 0.0000 0.5000  6 Dy 2.98, 2 Ce 2.99
Rh 0.3333 0.6667 0.1555  5 Dy 2.95-3.02, 3 Ce 2.96
Rh 0.6667 0.3333 0.8445  5 Dy 2.95-3.02, 3 Ce 2.96


Entry 8:
The following is a PBE calculation of a geometry-optimized Ce2Dy2Rh3 structure, from the Alexandria database.

## Properties
Its formation energy from the elements is -0.72 eV/atom. The magnetic moment is 2.4 Bohr magnetons per cell. The electronic total energy comes out at -0.253 hartree per atom.

Cell lengths 7.4810, 7.4810, 7.4810 Å; angles 109.47, 109.47, 109.47 degrees
With the nearest neighbours (Å) after each atom.
Positions (direct):
Ce 0.0000 0.3818 0.5000  3 Rh 2.75
Ce 0.1182 0.1182 0.1182  3 Rh 2.75
Ce 0.3818 0.5000 0.0000  3 Rh 2.75
Ce 0.5000 0.0000 0.3818  3 Rh 2.75
Dy 0.0000 0.8822 0.5000  6 Rh 2.81-3.12
Dy 0.5000 0.0000 0.8822  6 Rh 2.81-3.12
Dy 0.6178 0.6178 0.6178  6 Rh 2.81-3.12
Dy 0.8822 0.5000 0.0000  6 Rh 2.81-3.12
Rh 0.1097 0.7500 0.8597  2 Ce 2.75, 2 Dy 2.81
Rh 0.2500 0.6403 0.3903  2 Ce 2.75, 2 Dy 2.81
Rh 0.3903 0.2500 0.6403  2 Ce 2.75, 2 Dy 2.81
Rh 0.6403 0.3903 0.2500  2 Ce 2.75, 2 Dy 2.81
Rh 0.7500 0.8597 0.1097  2 Ce 2.75, 2 Dy 2.81
Rh 0.8597 0.1097 0.7500  2 Ce 2.75, 2 Dy 2.81


Entry 9:
The following is a PBE calculation of a geometry-optimized CeDyRh4 structure, from the Alexandria database.

## Properties
Its formation energy from the elements is -0.72 eV/atom. The magnetic moment is 0.0 Bohr magnetons per cell. The electronic total energy comes out at -0.271 hartree per atom.

Cell lengths 5.3492, 5.3492, 5.3492 Å; angles 60.00, 60.00, 60.00 degrees
With the nearest neighbours (Å) after each atom.
Positions (direct):
Ce 0.0000 0.0000 0.0000  12 Rh 3.14, 4 Dy 3.28
Dy 0.7500 0.7500 0.7500  12 Rh 3.14, 4 Ce 3.28
Rh 0.3752 0.3752 0.3752  6 Rh 2.67-2.68
Rh 0.3752 0.3752 0.8743  6 Rh 2.67-2.68
Rh 0.3752 0.8743 0.3752  6 Rh 2.67-2.68
Rh 0.8743 0.3752 0.3752  6 Rh 2.67-2.68


Entry 10:
The following is a PBE calculation of a geometry-optimized Ce4Dy2Rh9 structure, from the Alexandria database.

## Properties
Its formation energy from the elements is -0.68 eV/atom. The magnetic moment is 0.3 Bohr magnetons per cell. The electronic total energy comes out at -0.268 hartree per atom.

Cell lengths 4.5546, 4.5546, 16.9630 Å; angles 90.00, 90.00, 120.00 degrees
With the nearest neighbours (Å) after each atom.
Positions (direct):
Ce 0.3333 0.6667 0.1013  7 Rh 2.68-2.91
Ce 0.3333 0.6667 0.4034  6 Rh 2.64-2.90
Ce 0.6667 0.3333 0.5966  6 Rh 2.64-2.90
Ce 0.6667 0.3333 0.8987  7 Rh 2.68-2.91
Dy 0.3333 0.6667 0.7518  8 Rh 2.90-3.02
Dy 0.6667 0.3333 0.2482  8 Rh 2.90-3.02
Rh 0.0000 0.0000 0.1630  3 Ce 2.83, 4 Rh 2.85-3.06, 3 Dy 3.00
Rh 0.0000 0.0000 0.3307  5 Rh 2.85-3.03, 3 Ce 2.90, 3 Dy 2.98
Rh 0.0000 0.0000 0.5000  8 Rh 2.87-2.96, 6 Ce 3.10
Rh 0.0000 0.0000 0.6693  5 Rh 2.85-3.03, 3 Ce 2.90, 3 Dy 2.98
Rh 0.0000 0.0000 0.8370  3 Ce 2.83, 4 Rh 2.85-3.06, 3 Dy 3.00
Rh 0.3333 0.6667 0.5806  3 Ce 2.64, 1 Dy 2.90
Rh 0.3333 0.6667 0.9298  4 Ce 2.68-2.91
Rh 0.6667 0.3333 0.0702  4 Ce 2.68-2.91
Rh 0.6667 0.3333 0.4194  3 Ce 2.64, 1 Dy 2.90


Entry 11:
The following is a PBE calculation of a geometry-optimized Ce2DyRh structure, from the Alexandria database.

## Properties
Its formation energy from the elements is -0.27 eV/atom. The magnetic moment is 0.0 Bohr magnetons per cell. The electronic total energy comes out at -0.229 hartree per atom.

Cell lengths 3.6832, 3.6832, 7.5364 Å; angles 90.00, 90.00, 90.00 degrees
With the nearest neighbours (Å) after each atom.
Positions (direct):
Ce 0.0000 0.0000 0.1934  1 Ce 2.91, 4 Rh 2.98
Ce 0.0000 0.0000 0.8066  1 Ce 2.91, 4 Rh 2.98
Dy 0.5000 0.5000 0.5000  8 Ce 3.48, 4 Dy 3.68, 2 Rh 3.77
Rh 0.5000 0.5000 0.0000  8 Ce 2.98


Entry 12:
The following is a PBE calculation of a geometry-optimized Ce3Dy2Rh2 structure, from the Alexandria database.

## Properties
Its formation energy from the elements is -0.46 eV/atom. The magnetic moment is 0.0 Bohr magnetons per cell. The electronic total energy comes out at -0.236 hartree per atom.

Cell lengths 11.3197, 4.0416, 8.6320 Å; angles 90.00, 115.30, 90.00 degrees
With the nearest neighbours (Å) after each atom.
Positions (direct):
Ce 0.0000 0.0000 0.0000  4 Rh 2.69
Ce 0.1578 0.0000 0.4598  2 Ce 2.77, 1 Rh 2.94
Ce 0.3422 0.5000 0.5402  2 Ce 2.77, 1 Rh 2.94
Ce 0.5000 0.5000 0.0000  4 Rh 2.69
Ce 0.6578 0.5000 0.4598  2 Ce 2.77, 1 Rh 2.94
Ce 0.8422 0.0000 0.5402  2 Ce 2.77, 1 Rh 2.94
Dy 0.1504 0.5000 0.8020  3 Rh 2.91-3.19
Dy 0.3496 0.0000 0.1980  3 Rh 2.91-3.19
Dy 0.6504 0.0000 0.8020  3 Rh 2.91-3.19
Dy 0.8496 0.5000 0.1980  3 Rh 2.91-3.19
Rh 0.1577 0.5000 0.1757  3 Ce 2.69-2.94, 2 Dy 2.91
Rh 0.3423 0.0000 0.8243  3 Ce 2.69-2.94, 2 Dy 2.91
Rh 0.6577 0.0000 0.1757  3 Ce 2.69-2.94, 2 Dy 2.91
Rh 0.8423 0.5000 0.8243  3 Ce 2.69-2.94, 2 Dy 2.91